A relaxed structure of CrBiRu3. Source: Alexandria via LeMat-Bulk, functional GGA-PBE.

The space group is Pm-3m (No. 221) and the conventional cell measures 4.507, 4.507 and 4.507 Å, with angles of 90.00, 90.00 and 90.00 degrees. The asymmetric unit holds Cr at (0.000, 0.000, 0.000), Bi at (0.500, 0.500, 0.500) and Ru at (0.000, 0.000, 0.500).

As for the formation energy: 1.015 eV/atom. As for the total energy: -36.26 eV/cell. For the energy relative to the lowest polymorph listed for this composition, the calculation gives 0.000 eV/atom.



A relaxed structure of CrBi3Ru. Source: Alexandria via LeMat-Bulk, functional GGA-PBE.

The space group is Pm-3m (No. 221) and the conventional cell measures 5.146, 5.146 and 5.146 Å, with angles of 90.00, 90.00 and 90.00 degrees. The asymmetric unit holds Cr at (0.000, 0.000, 0.000), Bi at (0.000, 0.000, 0.500) and Ru at (0.500, 0.500, 0.500).

As for the formation energy: 1.130 eV/atom. As for the total energy: -24.89 eV/cell. For the energy relative to the lowest polymorph listed for this composition, the calculation gives 0.000 eV/atom.



A relaxed structure of CrBi2Ru. Source: Alexandria via LeMat-Bulk, functional GGA-PBE.

The space group is I-42d (No. 122) and the conventional cell measures 7.724, 7.724 and 6.317 Å, with angles of 90.00, 90.00 and 90.00 degrees. The asymmetric unit holds Cr at (0.000, 0.000, 0.000), Bi at (0.224, 0.250, 0.625) and Ru at (0.000, 0.000, 0.500).

As for the formation energy: 0.735 eV/atom. As for the total energy: -94.88 eV/cell. For the energy relative to the lowest polymorph listed for this composition, the calculation gives 0.058 eV/atom.



A relaxed structure of TaCrBi2Ru. Source: Alexandria via LeMat-Bulk, functional GGA-PBE.

The space group is P4/mmm (No. 123) and the conventional cell measures 5.220, 5.220 and 4.558 Å, with angles of 90.00, 90.00 and 90.00 degrees. The asymmetric unit holds Ta at (0.000, 0.000, 0.000), Cr at (0.500, 0.500, 0.000), Bi at (0.000, 0.500, 0.500) and Ru at (0.500, 0.500, 0.500).

As for the formation energy: 1.308 eV/atom. As for the total energy: -31.97 eV/cell.



A relaxed structure of CrBiS3. Source: Alexandria via LeMat-Bulk, functional GGA-PBE.

The space group is Pm-3m (No. 221) and the conventional cell measures 4.630, 4.630 and 4.630 Å, with angles of 90.00, 90.00 and 90.00 degrees. The asymmetric unit holds Cr at (0.000, 0.000, 0.000), Bi at (0.500, 0.500, 0.500) and S at (0.000, 0.000, 0.500).

As for the total energy: -26.29 eV/cell. As for the formation energy from raw total energies: -0.081 eV/atom.



A relaxed structure of CrBiS2. Source: Alexandria via LeMat-Bulk, functional GGA-PBE.

The space group is Cmcm (No. 63) and the conventional cell measures 3.304, 27.882 and 3.615 Å, with angles of 90.00, 90.00 and 90.00 degrees. The asymmetric unit holds Cr at (0.000, 0.193, 0.250), Bi at (0.000, 0.451, 0.250), S at (0.000, 0.282, 0.250) and S at (0.000, 0.369, 0.750).

As for the total energy: -90.31 eV/cell. As for the formation energy from raw total energies: -0.204 eV/atom.



A relaxed structure of Cr2Bi2S. Source: Alexandria via LeMat-Bulk, functional GGA-PBE.

The space group is I4/mmm (No. 139) and the conventional cell measures 3.416, 3.416 and 17.159 Å, with angles of 90.00, 90.00 and 90.00 degrees. The asymmetric unit holds Cr at (0.000, 0.500, 0.250), Bi at (0.000, 0.000, 0.112) and S at (0.000, 0.000, 0.500).

As for the total energy: -57.03 eV/cell. As for the formation energy from raw total energies: 0.524 eV/atom. For the energy relative to the lowest polymorph listed for this composition, the calculation gives 0.000 eV/atom.



A relaxed structure of CrBiS2. Source: Alexandria via LeMat-Bulk, functional GGA-PBE.

The space group is I-42d (No. 122) and the conventional cell measures 6.106, 6.106 and 9.969 Å, with angles of 90.00, 90.00 and 90.00 degrees. The asymmetric unit holds Cr at (0.000, 0.000, 0.000), Bi at (0.000, 0.000, 0.500) and S at (0.151, 0.250, 0.125).

As for the total energy: -87.38 eV/cell. As for the formation energy from raw total energies: -0.022 eV/atom.



Repeat the sixth record exactly.
A relaxed structure of CrBiS2. Source: Alexandria via LeMat-Bulk, functional GGA-PBE.

The space group is Cmcm (No. 63) and the conventional cell measures 3.304, 27.882 and 3.615 Å, with angles of 90.00, 90.00 and 90.00 degrees. The asymmetric unit holds Cr at (0.000, 0.193, 0.250), Bi at (0.000, 0.451, 0.250), S at (0.000, 0.282, 0.250) and S at (0.000, 0.369, 0.750).

As for the total energy: -90.31 eV/cell. As for the formation energy from raw total energies: -0.204 eV/atom.



> What is the formula in the second record?

CrBi3Ru